# Sr2NbCl (meta-GGA SCAN, PBEsol geometry)
# Magnetic moment = 5.92 μB/f.u.
# DFT total energy = -340.9 eV/cell
# Energy relative to the elements, uncorrected = 0.111 eV per atom
# DOS at the Fermi energy = 1.08 states/eV/f.u.
data_Sr2NbCl
_chemical_formula_sum 'Sr8 Nb4 Cl4'
_symmetry_space_group_name_H-M 'F m -3 m'
_symmetry_Int_Tables_number 225
_symmetry_space_group_name_Hall '-F 4 2 3'
_cell_length_a 8.024
_cell_length_b 8.024
_cell_length_c 8.024
_cell_angle_alpha 90.00
_cell_angle_beta 90.00
_cell_angle_gamma 90.00
loop_
_atom_site_label
_atom_site_type_symbol
_atom_site_fract_x
_atom_site_fract_y
_atom_site_fract_z
Sr1 Sr 0.250 0.250 0.250
Nb1 Nb 0.000 0.000 0.000
Cl1 Cl 0.000 0.000 0.500